1.
# Be2SnAu2 (SCAN, PBEsol geometry)
data_Be2SnAu2
_chemical_formula_sum 'Be4 Sn2 Au4'
_cell_length_a 3.568
_cell_length_b 3.568
_cell_length_c 12.367
_cell_angle_alpha 90.00
_cell_angle_beta 90.00
_cell_angle_gamma 90.00
_space_group_name_H-M_alt 'I 4/m m m'
_space_group_IT_number 139
_space_group_name_Hall '-I 4 2'
loop_
_atom_site_label
_atom_site_fract_x
_atom_site_fract_y
_atom_site_fract_z
Be1 0.000 0.500 0.250
Sn1 0.000 0.000 0.000
Au1 0.000 0.000 0.374
# - V (Å³ per cell) = 157
# - magnetic moment (μB per formula unit) = 0.000
# - raw total energy (eV per atom) = -36.767
# - density of states at the Fermi level (states/eV/f.u.) = 1.3

2.
# MnAl3Ga (SCAN, PBEsol geometry)
data_MnAl3Ga
_chemical_formula_sum 'Mn1 Al3 Ga1'
_cell_length_a 4.549
_cell_length_b 4.549
_cell_length_c 4.549
_cell_angle_alpha 90.00
_cell_angle_beta 90.00
_cell_angle_gamma 90.00
_space_group_name_H-M_alt 'P m -3 m'
_space_group_IT_number 221
_space_group_name_Hall '-P 4 2 3'
loop_
_atom_site_label
_atom_site_fract_x
_atom_site_fract_y
_atom_site_fract_z
Mn1 0.000 0.000 0.000
Al1 0.000 0.000 0.500
Ga1 0.500 0.500 0.500
# - V (Å³ per cell) = 94
# - magnetic moment (μB per formula unit) = 0.002
# - raw total energy (eV per atom) = -11.227
# - density of states at the Fermi level (states/eV/f.u.) = 2.9

3.
# Mg2CrP (SCAN, PBEsol geometry)
data_Mg2CrP
_chemical_formula_sum 'Mg4 Cr2 P2'
_cell_length_a 3.877
_cell_length_b 3.877
_cell_length_c 8.359
_cell_angle_alpha 90.00
_cell_angle_beta 90.00
_cell_angle_gamma 90.00
_space_group_name_H-M_alt 'I -4 m 2'
_space_group_IT_number 119
_space_group_name_Hall 'I -4 -2'
loop_
_atom_site_label
_atom_site_fract_x
_atom_site_fract_y
_atom_site_fract_z
Mg1 0.000 0.000 0.000
Mg2 0.000 0.500 0.250
Cr1 0.000 0.500 0.750
P1 0.000 0.000 0.500
# - V (Å³ per cell) = 126
# - magnetic moment (μB per formula unit) = 3.332
# - raw total energy (eV per atom) = -9.731
# - density of states at the Fermi level (states/eV/f.u.) = 2.0

4.
# CeNd3C8 (SCAN, PBEsol geometry)
data_CeNd3C8
_chemical_formula_sum 'Ce1 Nd3 C8'
_cell_length_a 3.765
_cell_length_b 3.765
_cell_length_c 12.780
_cell_angle_alpha 90.00
_cell_angle_beta 90.00
_cell_angle_gamma 90.00
_space_group_name_H-M_alt 'P 4/m m m'
_space_group_IT_number 123
_space_group_name_Hall '-P 4 2'
loop_
_atom_site_label
_atom_site_fract_x
_atom_site_fract_y
_atom_site_fract_z
Ce1 0.000 0.000 0.000
Nd1 0.000 0.000 0.500
Nd2 0.500 0.500 0.248
C1 0.000 0.000 0.197
C2 0.000 0.000 0.299
C3 0.500 0.500 0.051
C4 0.500 0.500 0.449
# - V (Å³ per cell) = 181
# - magnetic moment (μB per formula unit) = 0.850
# - raw total energy (eV per atom) = -21.604
# - density of states at the Fermi level (states/eV/f.u.) = 4.9

5.
# TaAl2Pt (SCAN, PBEsol geometry)
data_TaAl2Pt
_chemical_formula_sum 'Ta2 Al4 Pt2'
_cell_length_a 5.601
_cell_length_b 8.731
_cell_length_c 2.772
_cell_angle_alpha 90.00
_cell_angle_beta 113.01
_cell_angle_gamma 90.00
_space_group_name_H-M_alt 'C 1 2/m 1'
_space_group_IT_number 12
loop_
_space_group_symop_operation_xyz
'x,y,z'
'-x,-y,-z'
'-x,y,-z'
'x,-y,z'
'x+1/2,y+1/2,z'
'-x+1/2,-y+1/2,-z'
'-x+1/2,y+1/2,-z'
'x+1/2,-y+1/2,z'
loop_
_atom_site_label
_atom_site_fract_x
_atom_site_fract_y
_atom_site_fract_z
Ta1 0.000 0.000 0.000
Al1 0.250 0.250 0.500
Pt1 0.000 0.500 0.000
# - V (Å³ per cell) = 125
# - magnetic moment (μB per formula unit) = 0.000
# - raw total energy (eV per atom) = -38.574
# - density of states at the Fermi level (states/eV/f.u.) = 2.1

6.
# CaYTa2 (SCAN, PBEsol geometry)
data_CaYTa2
_chemical_formula_sum 'Ca1 Y1 Ta2'
_cell_length_a 2.930
_cell_length_b 5.097
_cell_length_c 5.921
_cell_angle_alpha 90.00
_cell_angle_beta 90.51
_cell_angle_gamma 90.00
_space_group_name_H-M_alt 'P 1 2/m 1'
_space_group_IT_number 10
loop_
_space_group_symop_operation_xyz
'x,y,z'
'-x,-y,-z'
'-x,y,-z'
'x,-y,z'
loop_
_atom_site_label
_atom_site_fract_x
_atom_site_fract_y
_atom_site_fract_z
Ca1 0.000 0.000 0.000
Y1 0.000 0.000 0.500
Ta1 0.499 0.500 0.739
# - V (Å³ per cell) = 88
# - magnetic moment (μB per formula unit) = 0.000
# - raw total energy (eV per atom) = -41.961
# - density of states at the Fermi level (states/eV/f.u.) = 4.6

7.
# Li4Ti3MnO8 (SCAN, PBEsol geometry)
data_Li4Ti3MnO8
_chemical_formula_sum 'Li12 Ti9 Mn3 O24'
_cell_length_a 5.6909
_cell_length_b 5.6909
_cell_length_c 14.7261
_cell_angle_alpha 90.00
_cell_angle_beta 90.00
_cell_angle_gamma 120.00
_space_group_name_H-M_alt 'R -3 m'
_space_group_IT_number 166
_space_group_name_Hall '-R 3 2"'
loop_
_atom_site_label
_atom_site_fract_x
_atom_site_fract_y
_atom_site_fract_z
Li1 0.0000 0.0000 0.0000
Li2 0.0000 0.5000 0.0000
Ti1 0.0000 0.5000 0.5000
Mn1 0.0000 0.0000 0.5000
O1 0.0000 0.0000 0.2457
O2 0.0008 0.5004 0.7538
# - V (Å³ per cell) = 413
# - magnetic moment (μB per formula unit) = 2.122
# - raw formation energy (eV per atom) = -2.68
# - raw total energy (eV per atom) = -10.543
# - density of states at the Fermi level (states/eV/f.u.) = 3.6

8.
# CaMoPb2 (SCAN, PBEsol geometry)
data_CaMoPb2
_chemical_formula_sum 'Ca2 Mo2 Pb4'
_cell_length_a 6.470
_cell_length_b 8.451
_cell_length_c 3.363
_cell_angle_alpha 90.00
_cell_angle_beta 90.00
_cell_angle_gamma 90.00
_space_group_name_H-M_alt 'C m m m'
_space_group_IT_number 65
_space_group_name_Hall '-C 2 2'
loop_
_atom_site_label
_atom_site_fract_x
_atom_site_fract_y
_atom_site_fract_z
Ca1 0.000 0.000 0.000
Mo1 0.000 0.500 0.000
Pb1 0.250 0.250 0.500
# - V (Å³ per cell) = 184
# - magnetic moment (μB per formula unit) = 2.505
# - energy relative to the lowest polymorph listed for this composition (meV per atom) = 34
# - raw total energy (eV per atom) = -48.703
# - density of states at the Fermi level (states/eV/f.u.) = 2.4

Repeat the first record exactly.
# Be2SnAu2 (SCAN, PBEsol geometry)
data_Be2SnAu2
_chemical_formula_sum 'Be4 Sn2 Au4'
_cell_length_a 3.568
_cell_length_b 3.568
_cell_length_c 12.367
_cell_angle_alpha 90.00
_cell_angle_beta 90.00
_cell_angle_gamma 90.00
_space_group_name_H-M_alt 'I 4/m m m'
_space_group_IT_number 139
_space_group_name_Hall '-I 4 2'
loop_
_atom_site_label
_atom_site_fract_x
_atom_site_fract_y
_atom_site_fract_z
Be1 0.000 0.500 0.250
Sn1 0.000 0.000 0.000
Au1 0.000 0.000 0.374
# - V (Å³ per cell) = 157
# - magnetic moment (μB per formula unit) = 0.000
# - raw total energy (eV per atom) = -36.767
# - density of states at the Fermi level (states/eV/f.u.) = 1.3

Repeat the sixth record exactly.
# CaYTa2 (SCAN, PBEsol geometry)
data_CaYTa2
_chemical_formula_sum 'Ca1 Y1 Ta2'
_cell_length_a 2.930
_cell_length_b 5.097
_cell_length_c 5.921
_cell_angle_alpha 90.00
_cell_angle_beta 90.51
_cell_angle_gamma 90.00
_space_group_name_H-M_alt 'P 1 2/m 1'
_space_group_IT_number 10
loop_
_space_group_symop_operation_xyz
'x,y,z'
'-x,-y,-z'
'-x,y,-z'
'x,-y,z'
loop_
_atom_site_label
_atom_site_fract_x
_atom_site_fract_y
_atom_site_fract_z
Ca1 0.000 0.000 0.000
Y1 0.000 0.000 0.500
Ta1 0.499 0.500 0.739
# - V (Å³ per cell) = 88
# - magnetic moment (μB per formula unit) = 0.000
# - raw total energy (eV per atom) = -41.961
# - density of states at the Fermi level (states/eV/f.u.) = 4.6

- Which of these has the highest V?
  Li4Ti3MnO8

- What is the density of states at the Fermi level in the third record?
  2.0 states/eV/f.u.